# PBE-GGA Nd2SmDyTm, relaxed
data_Nd2SmDyTm
_symmetry_space_group_name_H-M 'P 1 2/c 1'
_symmetry_Int_Tables_number 13
_symmetry_space_group_name_Hall '-P 2yc'
_cell_length_a 8.203
_cell_length_b 6.737
_cell_length_c 6.184
_cell_angle_alpha 90.00
_cell_angle_beta 90.12
_cell_angle_gamma 90.00
loop_
_atom_site_label
_atom_site_type_symbol
_atom_site_fract_x
_atom_site_fract_y
_atom_site_fract_z
Nd1 Nd 0.195 0.193 0.251
Sm1 Sm 0.500 0.500 0.000
Dy1 Dy 0.500 0.079 0.750
Tm1 Tm 0.000 0.344 0.750
# calculated density	7.49	g/cm³
# formation energy from the elements	273	meV/atom
# DOS at the Fermi energy	11.7	states/eV per cell

***

# PBE-GGA BaSmSb2Au2, relaxed
data_BaSmSb2Au2
_symmetry_space_group_name_H-M 'P -3 m 1'
_symmetry_Int_Tables_number 164
_symmetry_space_group_name_Hall '-P 3 2"'
_cell_length_a 4.7369
_cell_length_b 4.7369
_cell_length_c 8.8645
_cell_angle_alpha 90.00
_cell_angle_beta 90.00
_cell_angle_gamma 120.00
loop_
_atom_site_label
_atom_site_type_symbol
_atom_site_fract_x
_atom_site_fract_y
_atom_site_fract_z
Ba1 Ba 0.0000 0.0000 0.0000
Sm1 Sm 0.0000 0.0000 0.5000
Sb1 Sb 0.3333 0.6667 0.7379
Au1 Au 0.3333 0.6667 0.3107
# calculated density	8.92	g/cm³
# DOS at the Fermi energy	3.1	states/eV per cell
# ΔE_f (raw)	-5.21	eV/f.u.

***

# PBE-GGA Cs2HgPtO, relaxed
data_Cs2HgPtO
_symmetry_space_group_name_H-M 'P 4/m m m'
_symmetry_Int_Tables_number 123
_symmetry_space_group_name_Hall '-P 4 2'
_cell_length_a 6.456
_cell_length_b 6.456
_cell_length_c 3.918
_cell_angle_alpha 90.00
_cell_angle_beta 90.00
_cell_angle_gamma 90.00
loop_
_atom_site_label
_atom_site_type_symbol
_atom_site_fract_x
_atom_site_fract_y
_atom_site_fract_z
Cs1 Cs 0.000 0.500 0.000
Hg1 Hg 0.000 0.000 0.500
Pt1 Pt 0.500 0.500 0.500
O1 O 0.500 0.500 0.000
# energy above the lowest structure with this stoichiometry	0.0000	eV per atom
# calculated density	6.89	g/cm³
# DOS at the Fermi energy	4.5	states/eV per cell
# ΔE_f (raw)	-2.57	eV/f.u.

***

# PBE-GGA Sr2IrCBr, relaxed
data_Sr2IrCBr
_symmetry_space_group_name_H-M 'P 4/m m m'
_symmetry_Int_Tables_number 123
_symmetry_space_group_name_Hall '-P 4 2'
_cell_length_a 5.589
_cell_length_b 5.589
_cell_length_c 3.880
_cell_angle_alpha 90.00
_cell_angle_beta 90.00
_cell_angle_gamma 90.00
loop_
_atom_site_label
_atom_site_type_symbol
_atom_site_fract_x
_atom_site_fract_y
_atom_site_fract_z
Sr1 Sr 0.000 0.500 0.000
Ir1 Ir 0.000 0.000 0.500
C1 C 0.000 0.000 0.000
Br1 Br 0.500 0.500 0.500
# calculated density	6.29	g/cm³
# DOS at the Fermi energy	1.6	states/eV per cell
# ΔE_f (raw)	-3.68	eV/f.u.

***

# PBE-GGA Sr2LiRh, relaxed
data_Sr2LiRh
_symmetry_space_group_name_H-M 'F m -3 m'
_symmetry_Int_Tables_number 225
_symmetry_space_group_name_Hall '-F 4 2 3'
_cell_length_a 7.565
_cell_length_b 7.565
_cell_length_c 7.565
_cell_angle_alpha 90.00
_cell_angle_beta 90.00
_cell_angle_gamma 90.00
loop_
_atom_site_label
_atom_site_type_symbol
_atom_site_fract_x
_atom_site_fract_y
_atom_site_fract_z
Sr1 Sr 0.250 0.250 0.250
Li1 Li 0.000 0.000 0.000
Rh1 Rh 0.000 0.000 0.500
# calculated density	4.37	g/cm³
# formation energy from the elements	-96	meV/atom
# DOS at the Fermi energy	0.3	states/eV per cell

***

# PBE-GGA W3Se6I, relaxed
data_W3Se6I
_symmetry_space_group_name_H-M 'P 1 21/m 1'
_symmetry_Int_Tables_number 11
_symmetry_space_group_name_Hall '-P 2yb'
_cell_length_a 12.104
_cell_length_b 3.300
_cell_length_c 13.892
_cell_angle_alpha 90.00
_cell_angle_beta 91.50
_cell_angle_gamma 90.00
loop_
_atom_site_label
_atom_site_type_symbol
_atom_site_fract_x
_atom_site_fract_y
_atom_site_fract_z
W1 W 0.095 0.250 0.106
W2 W 0.193 0.750 0.246
W3 W 0.396 0.250 0.461
Se1 Se 0.043 0.250 0.286
Se2 Se 0.072 0.250 0.915
Se3 Se 0.235 0.750 0.437
Se4 Se 0.247 0.750 0.070
Se5 Se 0.358 0.250 0.272
Se6 Se 0.410 0.750 0.600
I1 I 0.402 0.250 0.847
# calculated density	6.90	g/cm³
# DOS at the Fermi energy	5.6	states/eV per cell
# ΔE_f (raw)	-3.52	eV/f.u.